Record 1
! Na4Np3SbN8 | Alexandria | PBE | relaxed; values from VASP
&SYSTEM
  ibrav = 0, nat = 16, ntyp = 4
/
ATOMIC_SPECIES
Na 22.99 Na.upf
Np 237.00 Np.upf
Sb 121.76 Sb.upf
N 14.01 N.upf
ATOMIC_POSITIONS crystal
Na 0.0000 0.0000 0.0000
Na 0.0000 0.5000 0.5000
Na 0.5000 0.0000 0.5000
Na 0.5000 0.5000 0.0000
Np 0.0000 0.0000 0.5000
Np 0.0000 0.5000 0.0000
Np 0.5000 0.0000 0.0000
Sb 0.5000 0.5000 0.5000
N 0.1992 0.7432 0.7432
N 0.2291 0.2291 0.2291
N 0.2568 0.2568 0.8008
N 0.2568 0.8008 0.2568
N 0.7432 0.1992 0.7432
N 0.7432 0.7432 0.1992
N 0.7709 0.7709 0.7709
N 0.8008 0.2568 0.2568
CELL_PARAMETERS angstrom
3.4709 2.0039 5.6622
-3.4709 2.0039 5.6622
0.0000 -4.0078 5.6622
! E_form (uncorrected): -590 meV per atom
! Magnetization: 4.00 μB per cell

***

Record 2
! Pm8MgSc2 | Alexandria | PBE | relaxed; values from VASP
&SYSTEM
  ibrav = 0, nat = 11, ntyp = 3
/
ATOMIC_SPECIES
Pm 145.00 Pm.upf
Mg 24.30 Mg.upf
Sc 44.96 Sc.upf
ATOMIC_POSITIONS crystal
Pm 0.0477 0.0477 0.2238
Pm 0.1396 0.1396 0.6910
Pm 0.3173 0.3173 0.5868
Pm 0.4053 0.4053 0.0477
Pm 0.5947 0.5947 0.9523
Pm 0.6827 0.6827 0.4132
Pm 0.8604 0.8604 0.3090
Pm 0.9523 0.9523 0.7762
Mg 0.5000 0.5000 0.5000
Sc 0.2259 0.2259 0.1326
Sc 0.7741 0.7741 0.8674
CELL_PARAMETERS angstrom
8.9766 -2.5197 0.0000
8.9766 2.5197 0.0000
-2.1511 0.0000 7.6455
! Relative energy among the computed polymorphs: 0.0000 eV/atom
! Magnetization: 0.00 μB per cell
! Energy relative to the elements: 0.0266 eV per atom

***

Record 3
! CaTb2Rh | Alexandria | PBE | relaxed; values from VASP
&SYSTEM
  ibrav = 0, nat = 4, ntyp = 3
/
ATOMIC_SPECIES
Ca 40.08 Ca.upf
Tb 158.93 Tb.upf
Rh 102.91 Rh.upf
ATOMIC_POSITIONS crystal
Ca 0.0000 0.0000 0.0000
Tb 0.2199 0.2199 0.2199
Tb 0.7801 0.7801 0.7801
Rh 0.5000 0.5000 0.5000
CELL_PARAMETERS angstrom
1.9877 1.1476 9.5331
-1.9877 1.1476 9.5331
0.0000 -2.2952 9.5331
! Relative energy among the computed polymorphs: 0.0118 eV/atom
! Magnetization: 0.00 μB per cell
! Energy relative to the elements: -0.3777 eV per atom

***

Record 4
! Be2AgCl | Alexandria | PBE | relaxed; values from VASP
&SYSTEM
  ibrav = 0, nat = 4, ntyp = 3
/
ATOMIC_SPECIES
Be 9.01 Be.upf
Ag 107.87 Ag.upf
Cl 35.45 Cl.upf
ATOMIC_POSITIONS crystal
Be 0.0000 0.5000 0.0000
Be 0.5000 0.0000 0.0000
Ag 0.0000 0.0000 0.0000
Cl 0.5000 0.5000 0.0000
CELL_PARAMETERS angstrom
2.7543 -4.0195 0.0000
2.7543 4.0195 0.0000
-1.2143 0.0000 2.7895
! E_form (uncorrected): 505 meV per atom
! Relative energy among the computed polymorphs: 0.4691 eV/atom
! Magnetization: 0.00 μB per cell

***

Record 5
! Dy3Ag5O12 | Alexandria | PBE | relaxed; values from VASP
&SYSTEM
  ibrav = 0, nat = 80, ntyp = 3
/
ATOMIC_SPECIES
Dy 162.50 Dy.upf
Ag 107.87 Ag.upf
O 16.00 O.upf
ATOMIC_POSITIONS crystal
Dy 0.1250 0.2500 0.3750
Dy 0.1250 0.3750 0.7500
Dy 0.2500 0.3750 0.1250
Dy 0.2500 0.8750 0.6250
Dy 0.3750 0.1250 0.2500
Dy 0.3750 0.7500 0.1250
Dy 0.6250 0.2500 0.8750
Dy 0.6250 0.8750 0.7500
Dy 0.7500 0.1250 0.3750
Dy 0.7500 0.6250 0.8750
Dy 0.8750 0.6250 0.2500
Dy 0.8750 0.7500 0.6250
Ag 0.0000 0.0000 0.0000
Ag 0.0000 0.0000 0.5000
Ag 0.0000 0.5000 0.0000
Ag 0.0000 0.5000 0.5000
Ag 0.1250 0.7500 0.8750
Ag 0.1250 0.8750 0.2500
Ag 0.2500 0.1250 0.8750
Ag 0.2500 0.6250 0.3750
Ag 0.3750 0.2500 0.6250
Ag 0.3750 0.6250 0.7500
Ag 0.5000 0.0000 0.0000
Ag 0.5000 0.0000 0.5000
Ag 0.5000 0.5000 0.0000
Ag 0.5000 0.5000 0.5000
Ag 0.6250 0.3750 0.2500
Ag 0.6250 0.7500 0.3750
Ag 0.7500 0.3750 0.6250
Ag 0.7500 0.8750 0.1250
Ag 0.8750 0.1250 0.7500
Ag 0.8750 0.2500 0.1250
O 0.0493 0.2131 0.1371
O 0.0493 0.3361 0.9122
O 0.0760 0.7131 0.6639
O 0.0760 0.8629 0.4122
O 0.0878 0.6371 0.4240
O 0.0878 0.9507 0.6639
O 0.1371 0.0493 0.2131
O 0.1371 0.5878 0.9240
O 0.1639 0.2131 0.5760
O 0.1639 0.4507 0.5878
O 0.2131 0.1371 0.0493
O 0.2131 0.5760 0.1639
O 0.2869 0.3361 0.9240
O 0.2869 0.4507 0.3629
O 0.3361 0.9122 0.0493
O 0.3361 0.9240 0.2869
O 0.3629 0.2869 0.4507
O 0.3629 0.5760 0.9122
O 0.4122 0.0760 0.8629
O 0.4122 0.8361 0.5493
O 0.4240 0.0878 0.6371
O 0.4240 0.8361 0.7869
O 0.4507 0.3629 0.2869
O 0.4507 0.5878 0.1639
O 0.5493 0.4122 0.8361
O 0.5493 0.6371 0.7131
O 0.5760 0.1639 0.2131
O 0.5760 0.9122 0.3629
O 0.5878 0.1639 0.4507
O 0.5878 0.9240 0.1371
O 0.6371 0.4240 0.0878
O 0.6371 0.7131 0.5493
O 0.6639 0.0760 0.7131
O 0.6639 0.0878 0.9507
O 0.7131 0.5493 0.6371
O 0.7131 0.6639 0.0760
O 0.7869 0.4240 0.8361
O 0.7869 0.8629 0.9507
O 0.8361 0.5493 0.4122
O 0.8361 0.7869 0.4240
O 0.8629 0.4122 0.0760
O 0.8629 0.9507 0.7869
O 0.9122 0.0493 0.3361
O 0.9122 0.3629 0.5760
O 0.9240 0.1371 0.5878
O 0.9240 0.2869 0.3361
O 0.9507 0.6639 0.0878
O 0.9507 0.7869 0.8629
CELL_PARAMETERS angstrom
-6.5147 6.5147 6.5147
6.5147 -6.5147 6.5147
6.5147 6.5147 -6.5147
! E_form (uncorrected): -1152 meV per atom
! Magnetization: 0.00 μB per cell

***

Record 6
! Hf2Co2Ru | Alexandria | PBE | relaxed; values from VASP
&SYSTEM
  ibrav = 0, nat = 10, ntyp = 3
/
ATOMIC_SPECIES
Hf 178.49 Hf.upf
Co 58.93 Co.upf
Ru 101.07 Ru.upf
ATOMIC_POSITIONS crystal
Hf 0.1854 0.3146 0.0000
Hf 0.3146 0.8146 0.0000
Hf 0.6854 0.1854 0.0000
Hf 0.8146 0.6854 0.0000
Co 0.1171 0.6171 0.5000
Co 0.3829 0.1171 0.5000
Co 0.6171 0.8829 0.5000
Co 0.8829 0.3829 0.5000
Ru 0.0000 0.0000 0.5000
Ru 0.5000 0.5000 0.5000
CELL_PARAMETERS angstrom
6.7456 0.0000 0.0000
0.0000 6.7456 0.0000
0.0000 0.0000 3.3649
! Magnetization: 0.00 μB per cell
! Energy relative to the elements: -0.3450 eV per atom